## Si2AgBr8 (PBE)

Data for a geometry-optimized Si2AgBr8 structure.

a b c (Å): 6.766 8.246 8.246
angles (deg): 77.70 81.48 81.48
Positions (direct):
Si  0.684  0.794  0.794
Br  0.220  0.293  0.941
Br  0.780  0.059  0.707
Br  0.220  0.941  0.293
Br  0.153  0.379  0.379
Br  0.338  0.814  0.814
Br  0.847  0.621  0.621
Br  0.780  0.707  0.059
Si  0.316  0.206  0.206
Br  0.662  0.186  0.186
Ag  0.000  0.000  0.000

Raw formation energy: -0.52 eV per atom
N(E_F): 0.51 states/eV/atom
Crystal system: monoclinic


## SiAg2Br (PBE)

Data for a geometry-optimized SiAg2Br structure.

a b c (Å): 5.863 3.822 3.973
angles (deg): 90.05 90.00 90.00
Positions (direct):
Ag  0.500  0.126  0.125
Br  0.000  0.625  0.625
Si  0.500  0.625  0.625
Ag  0.000  0.125  0.125

Raw formation energy: 0.34 eV per atom
N(E_F): 0.12 states/eV/atom
Excess energy over the best structure of this formula in the dataset: 0.2011 eV per atom
Crystal system: orthorhombic


## Si2AgBr (PBE)

Data for a geometry-optimized Si2AgBr structure.

a b c (Å): 6.176 6.176 6.176
angles (deg): 150.84 135.37 54.21
Positions (direct):
Si  0.533  0.533  0.000
Ag  0.750  0.250  0.500
Br  0.250  0.750  0.500
Si  0.967  0.967  0.000

Raw formation energy: 0.60 eV per atom
N(E_F): 0.47 states/eV/atom
Excess energy over the best structure of this formula in the dataset: 0.4824 eV per atom
Crystal system: orthorhombic


## Si2AgBr (PBE)

Data for a geometry-optimized Si2AgBr structure.

a b c (Å): 5.921 5.921 7.446
angles (deg): 66.57 66.57 90.00
Positions (direct):
Ag  0.750  0.250  0.500
Br  0.250  0.750  0.500
Br  0.500  0.500  0.000
Ag  0.000  0.000  0.000
Si  0.686  0.125  0.250
Si  0.375  0.314  0.750
Si  0.875  0.936  0.750
Si  0.064  0.625  0.250

Raw formation energy: 0.65 eV per atom
N(E_F): 0.01 states/eV/atom
Excess energy over the best structure of this formula in the dataset: 0.5315 eV per atom
Crystal system: tetragonal


## Si2AgBr (PBE)

Data for a geometry-optimized Si2AgBr structure.

a b c (Å): 3.911 5.894 3.911
angles (deg): 71.26 88.17 108.73
Positions (direct):
Si  0.500  0.000  0.500
Ag  0.000  0.500  0.500
Br  0.500  0.500  0.000
Si  0.000  0.000  0.000

Raw formation energy: 0.50 eV per atom
N(E_F): 0.43 states/eV/atom
Excess energy over the best structure of this formula in the dataset: 0.3820 eV per atom
Crystal system: orthorhombic


## Si2AgBr (PBE)

Data for a geometry-optimized Si2AgBr structure.

a b c (Å): 6.972 6.972 6.972
angles (deg): 148.81 149.75 44.00
Positions (direct):
Br  0.193  0.693  0.500
Ag  0.513  0.513  0.000
Si  0.952  0.952  0.000
Si  0.843  0.343  0.500

Raw formation energy: 0.34 eV per atom
N(E_F): 0.34 states/eV/atom
Excess energy over the best structure of this formula in the dataset: 0.2224 eV per atom
Crystal system: orthorhombic


## SiAg2Br (PBE)

Data for a geometry-optimized SiAg2Br structure.

a b c (Å): 6.698 6.698 6.561
angles (deg): 59.31 59.31 90.00
Positions (direct):
Ag  0.587  0.125  0.250
Br  0.000  0.000  0.000
Ag  0.875  0.837  0.750
Si  0.250  0.750  0.500
Ag  0.163  0.625  0.250
Si  0.500  0.500  0.000
Br  0.750  0.250  0.500
Ag  0.375  0.413  0.750

Raw formation energy: 0.25 eV per atom
N(E_F): 0.24 states/eV/atom
Excess energy over the best structure of this formula in the dataset: 0.1134 eV per atom
Crystal system: tetragonal


## SiAg4Br (PBE)

Data for a geometry-optimized SiAg4Br structure.

a b c (Å): 5.592 5.592 5.592
angles (deg): 60.00 60.00 60.00
Positions (direct):
Br  0.750  0.750  0.750
Si  0.000  0.000  0.000
Ag  0.374  0.374  0.877
Ag  0.374  0.877  0.374
Ag  0.374  0.374  0.374
Ag  0.877  0.374  0.374

Raw formation energy: 0.43 eV per atom
N(E_F): 0.69 states/eV/atom
Crystal system: cubic


## Si2AgBr (PBE)

Data for a geometry-optimized Si2AgBr structure.

a b c (Å): 4.789 4.789 4.789
angles (deg): 60.00 60.00 60.00
Positions (direct):
Br  0.750  0.750  0.750
Si  0.250  0.250  0.250
Ag  0.500  0.500  0.500
Si  0.000  0.000  0.000

Raw formation energy: 0.70 eV per atom
N(E_F): 0.63 states/eV/atom
Excess energy over the best structure of this formula in the dataset: 0.5783 eV per atom
Crystal system: cubic


## Si3AgBr (PBE)

Data for a geometry-optimized Si3AgBr structure.

a b c (Å): 4.951 4.951 4.951
angles (deg): 90.00 90.00 90.00
Positions (direct):
Ag  0.000  0.000  0.000
Br  0.500  0.500  0.500
Si  0.500  0.000  0.000
Si  0.000  0.000  0.500
Si  0.000  0.500  0.000

Raw formation energy: 1.03 eV per atom
N(E_F): 0.72 states/eV/atom
Excess energy over the best structure of this formula in the dataset: 0.0000 eV per atom
Crystal system: cubic


## SiAg3Br (PBE)

Data for a geometry-optimized SiAg3Br structure.

a b c (Å): 4.922 4.922 4.922
angles (deg): 90.00 90.00 90.00
Positions (direct):
Ag  0.000  0.500  0.000
Ag  0.000  0.000  0.500
Si  0.000  0.000  0.000
Ag  0.500  0.000  0.000
Br  0.500  0.500  0.500

Raw formation energy: 0.42 eV per atom
N(E_F): 1.62 states/eV/atom
Excess energy over the best structure of this formula in the dataset: 0.0000 eV per atom
Crystal system: cubic


## SiAg2Br (PBE)

Data for a geometry-optimized SiAg2Br structure.

a b c (Å): 4.930 4.930 4.930
angles (deg): 60.00 60.00 60.00
Positions (direct):
Ag  0.000  0.000  0.000
Br  0.500  0.500  0.500
Si  0.750  0.750  0.750
Ag  0.250  0.250  0.250

Raw formation energy: 0.60 eV per atom
N(E_F): 0.55 states/eV/atom
Excess energy over the best structure of this formula in the dataset: 0.4585 eV per atom
Crystal system: cubic